No. 1
Here is a geometry-optimized PaIn5Ag structure from Alexandria via LeMat-Bulk. Energies are from PBE.

The structure belongs to space group P4/mmm (No. 123); the cell edges are 4.7997, 4.7997 and 7.5658 Å and the angles 90.00°, 90.00° and 90.00°. The distinct sites, in fractional coordinates, are Pa at (0.0000, 0.0000, 0.0000), In at (0.0000, 0.5000, 0.2881), In at (0.5000, 0.5000, 0.0000) and Ag at (0.0000, 0.0000, 0.5000).

The calculated density is 8.7 g/cm³. The formation energy is -0.42 eV per formula unit. The value obtained for the total magnetization is 0.5 μB per formula unit. For the raw total energy, the calculation gives -3.779 eV per atom.

---

No. 2
Here is a geometry-optimized LaAl2Fe2 structure from Alexandria via LeMat-Bulk. Energies are from PBE.

The structure belongs to space group P4/mbm (No. 127); the cell edges are 7.7345, 7.7345 and 2.7692 Å and the angles 90.00°, 90.00° and 90.00°. The distinct sites, in fractional coordinates, are La at (0.0000, 0.0000, 0.0000), Al at (0.1221, 0.3779, 0.0000) and Fe at (0.1664, 0.6664, 0.5000).

The calculated density is 6.1 g/cm³. The formation energy is -0.04 eV per formula unit. The value obtained for the total magnetization is 3.0 μB per formula unit. For the raw total energy, the calculation gives -5.876 eV per atom.